No. 1
# Cs2PdS3 PBE relaxed
data_Cs2PdS3
_chemical_formula_sum 'Cs4 Pd2 S6'
_symmetry_space_group_name_H-M 'P 1'
_symmetry_Int_Tables_number 1
_cell_length_a 7.818
_cell_length_b 7.818
_cell_length_c 6.586
_cell_angle_alpha 90.00
_cell_angle_beta 90.00
_cell_angle_gamma 71.35
loop_
_symmetry_equiv_pos_as_xyz
'x,y,z'
loop_
_atom_site_label
_atom_site_type_symbol
_atom_site_fract_x
_atom_site_fract_y
_atom_site_fract_z
Cs1 Cs 0.004 0.689 0.750
Cs2 Cs 0.311 0.996 0.750
Cs3 Cs 0.689 0.004 0.250
Cs4 Cs 0.996 0.311 0.250
Pd1 Pd 0.442 0.558 0.250
Pd2 Pd 0.558 0.442 0.750
S1 S 0.176 0.824 0.250
S2 S 0.375 0.375 0.000
S3 S 0.375 0.375 0.500
S4 S 0.625 0.625 0.000
S5 S 0.625 0.625 0.500
S6 S 0.824 0.176 0.750
# uncorrected energy = -3.802 eV per atom
# space-group type = No. 63

***

No. 2
# CsPdSeS2 PBE relaxed
data_CsPdSeS2
_chemical_formula_sum 'Cs2 Pd2 Se2 S4'
_symmetry_space_group_name_H-M 'P 1'
_symmetry_Int_Tables_number 1
_cell_length_a 6.468
_cell_length_b 7.035
_cell_length_c 7.824
_cell_angle_alpha 65.28
_cell_angle_beta 73.03
_cell_angle_gamma 74.21
loop_
_symmetry_equiv_pos_as_xyz
'x,y,z'
loop_
_atom_site_label
_atom_site_type_symbol
_atom_site_fract_x
_atom_site_fract_y
_atom_site_fract_z
Cs1 Cs 0.194 0.022 0.162
Cs2 Cs 0.806 0.978 0.838
Pd1 Pd 0.493 0.256 0.494
Pd2 Pd 0.507 0.744 0.506
Se1 Se 0.031 0.464 0.354
Se2 Se 0.969 0.536 0.646
S1 S 0.321 0.451 0.699
S2 S 0.348 0.947 0.696
S3 S 0.652 0.053 0.304
S4 S 0.679 0.549 0.301
# uncorrected energy = -4.051 eV per atom
# space-group type = No. 2

***

No. 3
# Cs2UPd3S6 PBE relaxed
data_Cs2UPd3S6
_chemical_formula_sum 'Cs4 U2 Pd6 S12'
_symmetry_space_group_name_H-M 'P 1'
_symmetry_Int_Tables_number 1
_cell_length_a 11.480
_cell_length_b 9.820
_cell_length_c 9.141
_cell_angle_alpha 74.43
_cell_angle_beta 55.49
_cell_angle_gamma 50.09
loop_
_symmetry_equiv_pos_as_xyz
'x,y,z'
loop_
_atom_site_label
_atom_site_type_symbol
_atom_site_fract_x
_atom_site_fract_y
_atom_site_fract_z
Cs1 Cs 0.203 0.797 0.203
Cs2 Cs 0.250 0.250 0.250
Cs3 Cs 0.750 0.750 0.750
Cs4 Cs 0.797 0.203 0.797
U1 U 0.333 0.333 0.667
U2 U 0.667 0.667 0.333
Pd1 Pd 0.004 0.677 0.996
Pd2 Pd 0.323 0.996 0.677
Pd3 Pd 0.327 0.673 0.673
Pd4 Pd 0.673 0.327 0.327
Pd5 Pd 0.677 0.004 0.323
Pd6 Pd 0.996 0.323 0.004
S1 S 0.101 0.307 0.693
S2 S 0.106 0.690 0.684
S3 S 0.307 0.101 0.899
S4 S 0.310 0.894 0.480
S5 S 0.316 0.480 0.894
S6 S 0.480 0.316 0.310
S7 S 0.520 0.684 0.690
S8 S 0.684 0.520 0.106
S9 S 0.690 0.106 0.520
S10 S 0.693 0.899 0.101
S11 S 0.894 0.310 0.316
S12 S 0.899 0.693 0.307
# uncorrected energy = -5.405 eV per atom
# space-group type = No. 69

***

No. 4
# CsYPdS3 PBE relaxed
data_CsYPdS3
_chemical_formula_sum 'Cs2 Y2 Pd2 S6'
_symmetry_space_group_name_H-M 'P 1'
_symmetry_Int_Tables_number 1
_cell_length_a 8.292
_cell_length_b 8.292
_cell_length_c 10.049
_cell_angle_alpha 90.00
_cell_angle_beta 90.00
_cell_angle_gamma 151.46
loop_
_symmetry_equiv_pos_as_xyz
'x,y,z'
loop_
_atom_site_label
_atom_site_type_symbol
_atom_site_fract_x
_atom_site_fract_y
_atom_site_fract_z
Cs1 Cs 0.249 0.751 0.750
Cs2 Cs 0.751 0.249 0.250
Y1 Y 0.000 0.000 0.000
Y2 Y 0.000 0.000 0.500
Pd1 Pd 0.492 0.508 0.250
Pd2 Pd 0.508 0.492 0.750
S1 S 0.075 0.925 0.250
S2 S 0.393 0.607 0.071
S3 S 0.393 0.607 0.429
S4 S 0.607 0.393 0.571
S5 S 0.607 0.393 0.929
S6 S 0.925 0.075 0.750
# uncorrected energy = -5.353 eV per atom
# space-group type = No. 63

***

No. 5
# CsZrPdS3 PBE relaxed
data_CsZrPdS3
_chemical_formula_sum 'Cs4 Zr4 Pd4 S12'
_symmetry_space_group_name_H-M 'P 1'
_symmetry_Int_Tables_number 1
_cell_length_a 15.743
_cell_length_b 3.812
_cell_length_c 10.297
_cell_angle_alpha 90.00
_cell_angle_beta 90.00
_cell_angle_gamma 90.00
loop_
_symmetry_equiv_pos_as_xyz
'x,y,z'
loop_
_atom_site_label
_atom_site_type_symbol
_atom_site_fract_x
_atom_site_fract_y
_atom_site_fract_z
Cs1 Cs 0.238 0.250 0.040
Cs2 Cs 0.262 0.750 0.540
Cs3 Cs 0.738 0.250 0.460
Cs4 Cs 0.762 0.750 0.960
Zr1 Zr 0.018 0.250 0.332
Zr2 Zr 0.482 0.750 0.832
Zr3 Zr 0.518 0.250 0.168
Zr4 Zr 0.982 0.750 0.668
Pd1 Pd 0.003 0.750 0.098
Pd2 Pd 0.497 0.250 0.598
Pd3 Pd 0.503 0.750 0.402
Pd4 Pd 0.997 0.250 0.902
S1 S 0.080 0.250 0.570
S2 S 0.083 0.750 0.864
S3 S 0.121 0.750 0.267
S4 S 0.379 0.250 0.767
S5 S 0.417 0.250 0.364
S6 S 0.420 0.750 0.070
S7 S 0.580 0.250 0.930
S8 S 0.583 0.750 0.636
S9 S 0.621 0.750 0.233
S10 S 0.879 0.250 0.733
S11 S 0.917 0.250 0.136
S12 S 0.920 0.750 0.430
# uncorrected energy = -5.691 eV per atom
# space-group type = No. 62

***

No. 6
# CsZrPdS3 PBE relaxed
data_CsZrPdS3
_chemical_formula_sum 'Cs2 Zr2 Pd2 S6'
_symmetry_space_group_name_H-M 'P 1'
_symmetry_Int_Tables_number 1
_cell_length_a 8.974
_cell_length_b 3.811
_cell_length_c 9.962
_cell_angle_alpha 90.00
_cell_angle_beta 114.51
_cell_angle_gamma 90.00
loop_
_symmetry_equiv_pos_as_xyz
'x,y,z'
loop_
_atom_site_label
_atom_site_type_symbol
_atom_site_fract_x
_atom_site_fract_y
_atom_site_fract_z
Cs1 Cs 0.236 0.250 0.259
Cs2 Cs 0.764 0.750 0.741
Zr1 Zr 0.314 0.750 0.842
Zr2 Zr 0.686 0.250 0.158
Pd1 Pd 0.100 0.250 0.595
Pd2 Pd 0.900 0.750 0.405
S1 S 0.127 0.250 0.857
S2 S 0.242 0.750 0.565
S3 S 0.471 0.750 0.133
S4 S 0.529 0.250 0.867
S5 S 0.758 0.250 0.435
S6 S 0.873 0.750 0.143
# uncorrected energy = -5.690 eV per atom
# space-group type = No. 11

***

No. 7
# Cs2Sb2Pd PBE relaxed
data_Cs2Sb2Pd
_chemical_formula_sum 'Cs4 Sb4 Pd2'
_symmetry_space_group_name_H-M 'P 1'
_symmetry_Int_Tables_number 1
_cell_length_a 8.608
_cell_length_b 8.608
_cell_length_c 6.837
_cell_angle_alpha 90.00
_cell_angle_beta 90.00
_cell_angle_gamma 127.73
loop_
_symmetry_equiv_pos_as_xyz
'x,y,z'
loop_
_atom_site_label
_atom_site_type_symbol
_atom_site_fract_x
_atom_site_fract_y
_atom_site_fract_z
Cs1 Cs 0.099 0.901 0.750
Cs2 Cs 0.300 0.700 0.250
Cs3 Cs 0.700 0.300 0.750
Cs4 Cs 0.901 0.099 0.250
Sb1 Sb 0.215 0.414 0.750
Sb2 Sb 0.414 0.215 0.250
Sb3 Sb 0.586 0.785 0.750
Sb4 Sb 0.785 0.586 0.250
Pd1 Pd 0.500 0.500 0.000
Pd2 Pd 0.500 0.500 0.500
# uncorrected energy = -3.536 eV per atom
# space-group type = No. 63

***

No. 8
# CsSbPd PBE relaxed
data_CsSbPd
_chemical_formula_sum 'Cs1 Sb1 Pd1'
_symmetry_space_group_name_H-M 'P 1'
_symmetry_Int_Tables_number 1
_cell_length_a 5.206
_cell_length_b 5.206
_cell_length_c 5.206
_cell_angle_alpha 60.00
_cell_angle_beta 60.00
_cell_angle_gamma 60.00
loop_
_symmetry_equiv_pos_as_xyz
'x,y,z'
loop_
_atom_site_label
_atom_site_type_symbol
_atom_site_fract_x
_atom_site_fract_y
_atom_site_fract_z
Cs1 Cs 0.000 0.000 0.000
Sb1 Sb 0.500 0.500 0.500
Pd1 Pd 0.750 0.750 0.750
# space-group type = No. 216
# relative energy among the computed polymorphs = 0 meV/atom

***

No. 9
# Cs2Sb2Pd PBE relaxed
data_Cs2Sb2Pd
_chemical_formula_sum 'Cs4 Sb4 Pd2'
_symmetry_space_group_name_H-M 'P 1'
_symmetry_Int_Tables_number 1
_cell_length_a 8.562
_cell_length_b 8.562
_cell_length_c 6.887
_cell_angle_alpha 90.00
_cell_angle_beta 90.00
_cell_angle_gamma 126.40
loop_
_symmetry_equiv_pos_as_xyz
'x,y,z'
loop_
_atom_site_label
_atom_site_type_symbol
_atom_site_fract_x
_atom_site_fract_y
_atom_site_fract_z
Cs1 Cs 0.098 0.902 0.750
Cs2 Cs 0.300 0.700 0.250
Cs3 Cs 0.700 0.300 0.750
Cs4 Cs 0.902 0.098 0.250
Sb1 Sb 0.218 0.417 0.750
Sb2 Sb 0.417 0.218 0.250
Sb3 Sb 0.583 0.782 0.750
Sb4 Sb 0.782 0.583 0.250
Pd1 Pd 0.500 0.500 0.000
Pd2 Pd 0.500 0.500 0.500
# uncorrected energy = -3.538 eV per atom
# space-group type = No. 63

***

No. 10
# CsSb5Pd3 PBE relaxed
data_CsSb5Pd3
_chemical_formula_sum 'Cs1 Sb5 Pd3'
_symmetry_space_group_name_H-M 'P 1'
_symmetry_Int_Tables_number 1
_cell_length_a 5.708
_cell_length_b 5.708
_cell_length_c 9.240
_cell_angle_alpha 90.00
_cell_angle_beta 90.00
_cell_angle_gamma 120.00
loop_
_symmetry_equiv_pos_as_xyz
'x,y,z'
loop_
_atom_site_label
_atom_site_type_symbol
_atom_site_fract_x
_atom_site_fract_y
_atom_site_fract_z
Cs1 Cs 0.000 0.000 0.000
Sb1 Sb 0.000 0.000 0.500
Sb2 Sb 0.333 0.667 0.259
Sb3 Sb 0.333 0.667 0.741
Sb4 Sb 0.667 0.333 0.259
Sb5 Sb 0.667 0.333 0.741
Pd1 Pd 0.000 0.500 0.500
Pd2 Pd 0.500 0.000 0.500
Pd3 Pd 0.500 0.500 0.500
# uncorrected energy = -4.441 eV per atom
# space-group type = No. 191